An optimized crystal structure of MgNi4O8. Source: Alexandria via LeMat-Bulk, functional PBE with a Hubbard U. Values from VASP.

Computed properties:
D(E_F): 4.3 states/eV/cell
Total magnetic moment: 2.00 μB per formula unit
Energy: -4.74 eV per atom

Structure (Quantum ESPRESSO input):
```
&SYSTEM
  ibrav = 0, nat = 13, ntyp = 3
/
ATOMIC_SPECIES
Ni 58.69 Ni.upf
O 16.00 O.upf
Mg 24.30 Mg.upf
ATOMIC_POSITIONS angstrom
Ni 1.347 -14.975 -8.440
O 1.614 -10.886 -4.652
O 1.023 -4.935 -1.428
O 2.279 -10.030 -2.433
Ni 0.956 -7.483 -3.557
Ni 0.393 -3.052 -1.443
Ni 0.827 -10.707 -6.352
O -0.629 -8.067 -7.716
O 0.144 -7.171 -5.214
O 0.685 -13.260 -8.662
Mg 0.116 -4.765 -3.419
O 1.668 -7.304 -1.753
O 0.062 -10.720 -8.154
CELL_PARAMETERS angstrom
-1.842 -5.029 -4.325
0.723 -4.180 -5.421
2.725 -8.613 -0.291
```